Arrangement 1

## DyHo2Cu2 (PBE)

Data for a relaxed structure of DyHo2Cu2.

Results
* mass density: 8.5 g cm⁻³
* spin magnetization: 0.0 μB per formula unit
* symmetry: P2_1/m

Cell: 5.000 4.585 10.647 Å, 90.00 97.25 90.00°
Positions (direct):
Dy: 0.191 0.250 0.239
Dy: 0.809 0.750 0.761
Ho: 0.248 0.750 0.495
Ho: 0.344 0.250 0.887
Ho: 0.656 0.750 0.113
Ho: 0.752 0.250 0.505
Cu: 0.124 0.750 0.010
Cu: 0.290 0.250 0.636
Cu: 0.710 0.750 0.364
Cu: 0.876 0.250 0.990

Arrangement 2

## DyHo2Cu2 (PBE)

Data for a relaxed structure of DyHo2Cu2.

Results
* mass density: 9.1 g cm⁻³
* spin magnetization: 0.0 μB per formula unit
* symmetry: P2_1/m

Cell: 3.490 5.044 13.027 Å, 90.00 97.68 90.00°
Positions (direct):
Dy: 0.142 0.250 0.283
Dy: 0.858 0.750 0.717
Ho: 0.047 0.750 0.093
Ho: 0.230 0.750 0.460
Ho: 0.770 0.250 0.540
Ho: 0.953 0.250 0.907
Cu: 0.359 0.250 0.720
Cu: 0.454 0.750 0.908
Cu: 0.546 0.250 0.092
Cu: 0.641 0.750 0.280

What should be chosen as the most stable of them? Choose arrangement 2.

Arrangement 1

## Dy2HoCu2 (PBE)

Data for a relaxed structure of Dy2HoCu2.

Results
* mass density: 9.0 g cm⁻³
* spin magnetization: 0.0 μB per formula unit
* symmetry: P2_1/m

Cell: 3.498 5.043 13.062 Å, 90.00 97.69 90.00°
Positions (direct):
Dy: 0.047 0.250 0.094
Dy: 0.230 0.250 0.460
Dy: 0.770 0.750 0.540
Dy: 0.953 0.750 0.906
Ho: 0.142 0.750 0.283
Ho: 0.858 0.250 0.717
Cu: 0.359 0.750 0.720
Cu: 0.453 0.250 0.907
Cu: 0.547 0.750 0.093
Cu: 0.641 0.250 0.280

Arrangement 2

## Dy2HoCu2 (PBE)

Data for a relaxed structure of Dy2HoCu2.

Results
* mass density: 9.1 g cm⁻³
* spin magnetization: 0.0 μB per formula unit
* symmetry: R-3m

Cell: 6.095 6.095 6.095 Å, 47.64 47.64 47.64°
Positions (direct):
Dy: 0.224 0.224 0.224
Dy: 0.776 0.776 0.776
Ho: 0.000 0.000 0.000
Cu: 0.420 0.420 0.420
Cu: 0.580 0.580 0.580

What should be chosen as the most stable of them? Choose arrangement 1.

Arrangement 1

## DyHoCu (PBE)

Data for a relaxed structure of DyHoCu.

Results
* mass density: 8.9 g cm⁻³
* spin magnetization: 0.0 μB per formula unit
* symmetry: Pnma

Cell: 6.847 4.895 8.689 Å, 90.00 90.00 90.00°
Positions (direct):
Dy: 0.145 0.250 0.085
Dy: 0.355 0.750 0.585
Dy: 0.645 0.250 0.415
Dy: 0.855 0.750 0.915
Ho: 0.014 0.250 0.675
Ho: 0.486 0.750 0.175
Ho: 0.514 0.250 0.825
Ho: 0.986 0.750 0.325
Cu: 0.239 0.250 0.402
Cu: 0.261 0.750 0.902
Cu: 0.739 0.250 0.098
Cu: 0.761 0.750 0.598

Arrangement 2

## DyHoCu (PBE)

Data for a relaxed structure of DyHoCu.

Results
* mass density: 8.7 g cm⁻³
* spin magnetization: 0.0 μB per formula unit
* symmetry: C2/m

Cell: 6.522 6.522 8.054 Å, 125.00 125.00 32.85°
Positions (direct):
Dy: 0.156 0.156 0.063
Dy: 0.844 0.844 0.937
Ho: 0.402 0.402 0.613
Ho: 0.598 0.598 0.387
Cu: 0.121 0.121 0.674
Cu: 0.879 0.879 0.326

Arrangement 3

## DyHoCu (PBE)

Data for a relaxed structure of DyHoCu.

Results
* mass density: 8.8 g cm⁻³
* spin magnetization: 0.0 μB per formula unit
* symmetry: I4mm

Cell: 6.614 6.614 6.614 Å, 149.64 149.64 43.47°
Positions (direct):
Dy: 0.000 0.000 0.000
Ho: 0.279 0.279 0.000
Cu: 0.641 0.641 0.000

Arrangement 4

## DyHoCu (PBE)

Data for a relaxed structure of DyHoCu.

Results
* mass density: 8.2 g cm⁻³
* spin magnetization: 0.0 μB per formula unit
* symmetry: F-43m

Cell: 4.829 4.829 4.829 Å, 60.00 60.00 60.00°
Positions (direct):
Dy: 0.000 0.000 0.000
Ho: 0.500 0.500 0.500
Cu: 0.750 0.750 0.750

What should be chosen as the most stable of them? Choose arrangement 1.

Arrangement 1

## DyHo3Cu2 (PBE)

Data for a relaxed structure of DyHo3Cu2.

Results
* mass density: 8.1 g cm⁻³
* spin magnetization: 0.0 μB per formula unit
* symmetry: Ibam

Cell: 8.296 8.296 8.296 Å, 131.89 72.65 129.09°
Positions (direct):
Dy: 0.000 0.000 0.000
Dy: 0.500 0.500 0.000
Ho: 0.016 0.250 0.766
Ho: 0.250 0.750 0.500
Ho: 0.484 0.250 0.234
Ho: 0.516 0.750 0.766
Ho: 0.750 0.250 0.500
Ho: 0.984 0.750 0.234
Cu: 0.142 0.708 0.850
Cu: 0.358 0.208 0.567
Cu: 0.642 0.792 0.433
Cu: 0.858 0.292 0.150

Arrangement 2

## DyHo3Cu2 (PBE)

Data for a relaxed structure of DyHo3Cu2.

Results
* mass density: 9.0 g cm⁻³
* spin magnetization: 0.0 μB per formula unit
* symmetry: Pmc2_1

Cell: 4.887 8.673 6.852 Å, 90.00 90.00 90.00°
Positions (direct):
Dy: 0.000 0.076 0.000
Dy: 0.000 0.924 0.500
Ho: 0.000 0.335 0.629
Ho: 0.000 0.665 0.129
Ho: 0.500 0.166 0.342
Ho: 0.500 0.425 0.971
Ho: 0.500 0.575 0.471
Ho: 0.500 0.834 0.842
Cu: 0.000 0.349 0.225
Cu: 0.000 0.651 0.725
Cu: 0.500 0.151 0.746
Cu: 0.500 0.849 0.246

What should be chosen as the most stable of them? Choose arrangement 2.

Arrangement 1

## DyHoCuPt (PBE)

Data for a relaxed structure of DyHoCuPt.

Results
* mass density: 11.1 g cm⁻³
* spin magnetization: 0.0 μB per formula unit
* symmetry: Amm2

Cell: 4.448 5.551 5.551 Å, 39.59 90.00 90.00°
Positions (direct):
Dy: 0.000 0.000 0.000
Ho: 0.500 0.278 0.278
Cu: 0.500 0.560 0.560
Pt: 0.000 0.718 0.718

Arrangement 2

## DyHoCuPt (PBE)

Data for a relaxed structure of DyHoCuPt.

Results
* mass density: 11.6 g cm⁻³
* spin magnetization: 0.0 μB per formula unit
* symmetry: F-43m

Cell: 4.912 4.912 4.912 Å, 60.00 60.00 60.00°
Positions (direct):
Dy: 0.000 0.000 0.000
Ho: 0.500 0.500 0.500
Cu: 0.750 0.750 0.750
Pt: 0.250 0.250 0.250

What should be chosen as the most stable of them? Choose arrangement 1.

Arrangement 1

## DyHoCuRh (PBE)

Data for a relaxed structure of DyHoCuRh.

Results
* mass density: 9.6 g cm⁻³
* spin magnetization: 0.0 μB per formula unit
* symmetry: Amm2

Cell: 4.372 5.502 5.502 Å, 39.96 90.00 90.00°
Positions (direct):
Dy: 0.000 0.000 0.000
Ho: 0.500 0.722 0.722
Cu: 0.500 0.436 0.436
Rh: 0.000 0.278 0.278

Arrangement 2

## DyHoCuRh (PBE)

Data for a relaxed structure of DyHoCuRh.

Results
* mass density: 10.0 g cm⁻³
* spin magnetization: 0.0 μB per formula unit
* symmetry: F-43m

Cell: 4.870 4.870 4.870 Å, 60.00 60.00 60.00°
Positions (direct):
Dy: 0.000 0.000 0.000
Ho: 0.500 0.500 0.500
Cu: 0.750 0.750 0.750
Rh: 0.250 0.250 0.250

What should be chosen as the most stable of them? Choose arrangement 1.

Arrangement 1

## DyHoCuSi (PBE)

Data for a relaxed structure of DyHoCuSi.

Results
* mass density: 8.3 g cm⁻³
* spin magnetization: 0.0 μB per formula unit
* symmetry: F-43m

Cell: 4.917 4.917 4.917 Å, 60.00 60.00 60.00°
Positions (direct):
Dy: 0.000 0.000 0.000
Ho: 0.500 0.500 0.500
Cu: 0.250 0.250 0.250
Si: 0.750 0.750 0.750

Arrangement 2

## DyHoCuSi (PBE)

Data for a relaxed structure of DyHoCuSi.

Results
* mass density: 7.9 g cm⁻³
* spin magnetization: 0.0 μB per formula unit
* symmetry: Amm2

Cell: 4.073 5.697 5.697 Å, 41.63 90.00 90.00°
Positions (direct):
Dy: 0.000 0.000 0.000
Ho: 0.500 0.280 0.280
Cu: 0.500 0.575 0.575
Si: 0.000 0.714 0.714

What should be chosen as the most stable of them? Choose arrangement 2.

Arrangement 1

## Dy4InCu (PBE)

Data for a relaxed structure of Dy4InCu.

Results
* mass density: 8.6 g cm⁻³
* spin magnetization: 0.0 μB per formula unit
* symmetry: P2_1/m

Cell: 5.342 7.025 8.656 Å, 90.00 99.08 90.00°
Positions (direct):
Dy: 0.149 0.250 0.049
Dy: 0.213 0.750 0.373
Dy: 0.320 0.515 0.744
Dy: 0.320 0.985 0.744
Dy: 0.680 0.015 0.256
Dy: 0.680 0.485 0.256
Dy: 0.787 0.250 0.627
Dy: 0.851 0.750 0.951
In: 0.230 0.250 0.418
In: 0.770 0.750 0.582
Cu: 0.361 0.750 0.053
Cu: 0.639 0.250 0.947

Arrangement 2

## Dy4InCu (PBE)

Data for a relaxed structure of Dy4InCu.

Results
* mass density: 8.5 g cm⁻³
* spin magnetization: 0.0 μB per formula unit
* symmetry: P2_1/c

Cell: 6.359 8.975 5.952 Å, 90.00 106.92 90.00°
Positions (direct):
Dy: 0.106 0.169 0.122
Dy: 0.106 0.331 0.622
Dy: 0.371 0.655 0.938
Dy: 0.371 0.845 0.438
Dy: 0.629 0.155 0.562
Dy: 0.629 0.345 0.062
Dy: 0.894 0.669 0.378
Dy: 0.894 0.831 0.878
In: 0.500 0.000 0.000
In: 0.500 0.500 0.500
Cu: 0.000 0.000 0.500
Cu: 0.000 0.500 0.000

What should be chosen as the most stable of them? Choose arrangement 1.

Arrangement 1

## Dy2In3Cu (PBE)

Data for a relaxed structure of Dy2In3Cu.

Results
* mass density: 8.4 g cm⁻³
* spin magnetization: 0.0 μB per formula unit
* symmetry: P3m1

Cell: 4.731 4.731 7.449 Å, 90.00 90.00 120.00°
Positions (direct):
Dy: 0.000 0.000 0.000
Dy: 0.000 0.000 0.460
In: 0.333 0.667 0.241
In: 0.333 0.667 0.672
In: 0.667 0.333 0.789
Cu: 0.667 0.333 0.178

Arrangement 2

## Dy2In3Cu (PBE)

Data for a relaxed structure of Dy2In3Cu.

Results
* mass density: 8.5 g cm⁻³
* spin magnetization: 0.0 μB per formula unit
* symmetry: Pmm2

Cell: 3.606 4.764 8.318 Å, 90.00 90.00 90.00°
Positions (direct):
Dy: 0.000 0.000 0.000
Dy: 0.000 0.500 0.478
In: 0.500 0.000 0.631
In: 0.500 0.500 0.169
In: 0.500 0.500 0.823
Cu: 0.500 0.000 0.312

What should be chosen as the most stable of them? Choose arrangement 1.

Arrangement 1

## Dy8InCu2 (PBE)

Data for a relaxed structure of Dy8InCu2.

Results
* mass density: 8.4 g cm⁻³
* spin magnetization: 0.1 μB per formula unit
* symmetry: C2/m

Cell: 8.072 8.072 5.350 Å, 98.77 98.77 114.78°
Positions (direct):
Dy: 0.081 0.330 0.586
Dy: 0.241 0.759 0.000
Dy: 0.330 0.081 0.586
Dy: 0.394 0.394 0.195
Dy: 0.606 0.606 0.805
Dy: 0.670 0.919 0.414
Dy: 0.759 0.241 0.000
Dy: 0.919 0.670 0.414
In: 0.000 0.000 0.000
Cu: 0.307 0.693 0.500
Cu: 0.693 0.307 0.500

Arrangement 2

## Dy8InCu2 (PBE)

Data for a relaxed structure of Dy8InCu2.

Results
* mass density: 8.7 g cm⁻³
* spin magnetization: 0.0 μB per formula unit
* symmetry: C2/m

Cell: 8.811 8.811 7.686 Å, 113.14 113.14 32.87°
Positions (direct):
Dy: 0.049 0.049 0.255
Dy: 0.182 0.182 0.779
Dy: 0.315 0.315 0.520
Dy: 0.402 0.402 0.026
Dy: 0.598 0.598 0.974
Dy: 0.685 0.685 0.480
Dy: 0.818 0.818 0.221
Dy: 0.951 0.951 0.745
In: 0.500 0.500 0.500
Cu: 0.191 0.191 0.151
Cu: 0.809 0.809 0.849

What should be chosen as the most stable of them? Choose arrangement 2.

Arrangement 1

## NdDyCuIr (PBE)

Data for a relaxed structure of NdDyCuIr.

Results
* mass density: 10.3 g cm⁻³
* spin magnetization: 0.0 μB per formula unit
* symmetry: Amm2

Cell: 4.353 5.656 5.656 Å, 40.42 90.00 90.00°
Positions (direct):
Nd: 0.000 0.000 0.000
Dy: 0.500 0.722 0.722
Cu: 0.500 0.429 0.429
Ir: 0.000 0.279 0.279

Arrangement 2

## NdDyCuIr (PBE)

Data for a relaxed structure of NdDyCuIr.

Results
* mass density: 10.8 g cm⁻³
* spin magnetization: 0.0 μB per formula unit
* symmetry: F-43m

Cell: 4.960 4.960 4.960 Å, 60.00 60.00 60.00°
Positions (direct):
Nd: 0.000 0.000 0.000
Dy: 0.500 0.500 0.500
Cu: 0.750 0.750 0.750
Ir: 0.250 0.250 0.250

What should be chosen as the most stable of them? Choose arrangement 1.

Arrangement 1

## SmDyCuIr (PBE)

Data for a relaxed structure of SmDyCuIr.

Results
* mass density: 10.6 g cm⁻³
* spin magnetization: 0.0 μB per formula unit
* symmetry: Amm2

Cell: 4.345 5.603 5.603 Å, 40.55 90.00 90.00°
Positions (direct):
Sm: 0.000 0.000 0.000
Dy: 0.500 0.722 0.722
Cu: 0.500 0.431 0.431
Ir: 0.000 0.281 0.281

Arrangement 2

## SmDyCuIr (PBE)

Data for a relaxed structure of SmDyCuIr.

Results
* mass density: 11.2 g cm⁻³
* spin magnetization: 0.0 μB per formula unit
* symmetry: F-43m

Cell: 4.926 4.926 4.926 Å, 60.00 60.00 60.00°
Positions (direct):
Sm: 0.000 0.000 0.000
Dy: 0.500 0.500 0.500
Cu: 0.250 0.250 0.250
Ir: 0.750 0.750 0.750

What should be chosen as the most stable of them? Choose arrangement 1.